Record 1
{
  "formula": "SrRhC2S",
  "functional": "PBE",
  "state": "optimized geometry",
  "space_group": "No. 123",
  "formation_energy_uncorrected_mev_per_atom": 716,
  "vol_a3_per_cell": 104.1,
  "lattice": [[3.946, 0.000, 0.000], [0.000, 6.689, 0.000], [0.000, 0.000, 3.946]],
  "species": ["C", "Rh", "S", "Sr", "C"],
  "frac_coords": [[0.500, 0.000, 0.000], [0.000, 0.000, 0.000], [0.500, 0.500, 0.500], [0.000, 0.500, 0.000], [0.000, 0.000, 0.500]]
}

---

Record 2
{
  "formula": "BaBe2P",
  "functional": "PBE",
  "state": "optimized geometry",
  "space_group": "No. 141",
  "ef_kj_per_mol_atoms": -6.9,
  "vol_a3_per_cell": 164.0,
  "lattice": [[-3.562, -1.363, -2.737], [-0.754, -3.681, 2.814], [-6.855, 1.559, 4.118]],
  "species": ["Be", "Be", "Ba", "Be", "Ba", "P", "P", "Be"],
  "frac_coords": [[0.375, 0.625, 0.750], [0.875, 0.625, 0.750], [0.750, 0.250, 0.500], [0.375, 0.125, 0.250], [0.000, 0.000, 0.000], [0.250, 0.750, 0.500], [0.500, 0.500, 0.000], [0.375, 0.625, 0.250]]
}

---

Record 3
{
  "formula": "Tb2Er3Ag2",
  "functional": "PBE",
  "state": "optimized geometry",
  "space_group": "No. 12",
  "ef_kj_per_mol_atoms": 5.3,
  "vol_a3_per_cell": 185.8,
  "lattice": [[4.701, 0.000, 0.624], [0.001, 3.402, -0.007], [0.836, -0.025, 11.727]],
  "species": ["Ag", "Tb", "Er", "Tb", "Ag", "Er", "Er"],
  "frac_coords": [[0.431, 0.500, 0.138], [0.708, 0.499, 0.583], [0.000, 0.000, 0.000], [0.292, 0.501, 0.417], [0.569, 0.500, 0.862], [0.138, 0.001, 0.723], [0.862, 0.999, 0.277]]
}